No. 1
Hf2ReGe4: relaxed, PBE.

Output
V, Å³ per atom: 21.9
ΔE_f, eV per atom: 0.34
Size of the total moment, μB per atom: 0.0000

Cell: 4.832 4.832 7.409 Å, 70.97 70.97 90.00°
Fractional coordinates of all 7 atoms:
Hf 0.609 0.609 0.783
Ge 0.808 0.808 0.384
Ge 0.192 0.192 0.616
Hf 0.391 0.391 0.217
Ge 0.000 0.500 0.000
Ge 0.500 0.000 0.000
Re 0.000 0.000 0.000

No. 2
KBe2Cu: relaxed, PBE.

Output
V, Å³ per atom: 17.2
ΔE_f, eV per atom: 1.13
Polymorph energy (0 for the lowest one), eV per formula unit: 3.63
Size of the total moment, μB per atom: 0.0000

Cell: 6.038 5.078 2.535 Å, 88.90 78.35 114.61°
Fractional coordinates of all 4 atoms:
Cu 0.500 0.500 0.000
K 0.500 0.000 0.500
Be 0.000 0.000 0.000
Be 0.000 0.500 0.500

No. 3
Li2CdSn2: relaxed, PBE.

Output
V, Å³ per atom: 23.7
ΔE_f, eV per atom: -0.14
Size of the total moment, μB per atom: 0.0000

Cell: 6.021 6.686 7.412 Å, 116.81 113.96 90.00°
Fractional coordinates of all 10 atoms:
Li 0.171 0.918 0.342
Sn 0.406 0.059 0.813
Sn 0.094 0.247 0.187
Sn 0.906 0.753 0.813
Cd 0.750 0.500 0.000
Li 0.329 0.577 0.658
Cd 0.250 0.500 0.000
Sn 0.594 0.941 0.187
Li 0.829 0.082 0.658
Li 0.671 0.423 0.342

No. 4
LaMgAl2Os: relaxed, PBE.

Output
V, Å³ per atom: 22.7
ΔE_f, eV per atom: -0.28
Size of the total moment, μB per atom: 0.0000

Cell: 4.774 4.774 4.971 Å, 90.00 90.00 90.00°
Fractional coordinates of all 5 atoms:
La 0.500 0.500 0.500
Al 0.500 0.000 0.000
Mg 0.000 0.000 0.500
Al 0.000 0.500 0.000
Os 0.000 0.000 0.000

No. 5
Tb12Ag3C5: relaxed, PBE.

Output
V, Å³ per atom: 24.7
ΔE_f, eV per atom: -0.06
Size of the total moment, μB per atom: 0.0000

Cell: 13.692 13.692 13.692 Å, 109.47 109.47 109.47°
Fractional coordinates of all 80 atoms:
Tb 0.904 0.086 0.885
Tb 0.115 0.414 0.096
C 0.875 0.250 0.625
Tb 0.615 0.019 0.201
Tb 0.596 0.615 0.414
C 0.375 0.250 0.125
Ag 0.375 0.750 0.625
Tb 0.019 0.404 0.818
Tb 0.404 0.385 0.586
Tb 0.519 0.201 0.115
C 0.125 0.750 0.375
Tb 0.914 0.818 0.799
Tb 0.904 0.818 0.519
Tb 0.481 0.682 0.096
C 0.125 0.375 0.250
Ag 0.625 0.250 0.375
Tb 0.885 0.586 0.904
C 0.375 0.125 0.750
Tb 0.096 0.182 0.481
Tb 0.914 0.096 0.615
C 0.750 0.625 0.375
Tb 0.586 0.885 0.404
Tb 0.182 0.096 0.981
C 0.250 0.375 0.625
Tb 0.818 0.914 0.299
Tb 0.019 0.615 0.701
Tb 0.701 0.586 0.182
C 0.625 0.875 0.250
Tb 0.586 0.701 0.682
C 0.000 0.500 0.000
C 0.250 0.875 0.125
Tb 0.799 0.318 0.914
Tb 0.818 0.904 0.019
Ag 0.750 0.875 0.625
Tb 0.615 0.596 0.914
Tb 0.596 0.981 0.682
Tb 0.096 0.914 0.115
Tb 0.299 0.885 0.981
Ag 0.750 0.375 0.125
Tb 0.799 0.481 0.385
Tb 0.385 0.404 0.086
Tb 0.318 0.799 0.414
Tb 0.682 0.481 0.596
C 0.625 0.750 0.875
Tb 0.414 0.299 0.318
C 0.500 0.000 0.000
C 0.750 0.125 0.875
Ag 0.875 0.750 0.125
C 0.000 0.000 0.000
Tb 0.318 0.519 0.404
Tb 0.115 0.701 0.519
Ag 0.125 0.250 0.875
Ag 0.250 0.125 0.375
Tb 0.086 0.904 0.385
C 0.000 0.500 0.500
Tb 0.981 0.385 0.299
Tb 0.481 0.799 0.885
Tb 0.682 0.201 0.586
C 0.500 0.500 0.000
C 0.500 0.500 0.500
Tb 0.701 0.115 0.019
Tb 0.414 0.115 0.596
C 0.000 0.000 0.500
Tb 0.086 0.182 0.201
C 0.500 0.000 0.500
Tb 0.404 0.019 0.318
Tb 0.519 0.318 0.904
Tb 0.201 0.682 0.086
Tb 0.182 0.086 0.701
Ag 0.125 0.875 0.750
Tb 0.385 0.981 0.799
Ag 0.375 0.625 0.250
Ag 0.875 0.125 0.250
Tb 0.299 0.414 0.818
Ag 0.250 0.625 0.875
Tb 0.885 0.299 0.481
Tb 0.981 0.596 0.182
Tb 0.201 0.519 0.615
C 0.875 0.625 0.750
Ag 0.625 0.375 0.750

No. 6
Ho3Mg4Ag: relaxed, PBE.

Output
V, Å³ per atom: 24.9
ΔE_f, eV per atom: -0.09
Size of the total moment, μB per atom: 0.0000

Cell: 3.649 3.649 14.946 Å, 90.00 90.00 90.00°
Fractional coordinates of all 8 atoms:
Ho 0.500 0.500 0.500
Mg 0.000 0.000 0.370
Mg 0.000 0.000 0.630
Ho 0.500 0.500 0.759
Ho 0.500 0.500 0.241
Mg 0.000 0.000 0.898
Ag 0.500 0.500 0.000
Mg 0.000 0.000 0.102

No. 7
AgPd: relaxed, PBE.

Output
V, Å³ per atom: 33.6
ΔE_f, eV per atom: 0.89
Size of the total moment, μB per atom: 0.0000

Cell: 8.130 8.130 8.130 Å, 90.00 90.00 90.00°
Fractional coordinates of all 16 atoms:
Pd 0.620 0.620 0.620
Pd 0.120 0.120 0.120
Pd 0.620 0.380 0.380
Pd 0.380 0.380 0.620
Pd 0.380 0.620 0.380
Ag 0.805 0.805 0.805
Pd 0.120 0.880 0.880
Pd 0.880 0.880 0.120
Ag 0.305 0.695 0.695
Ag 0.695 0.305 0.695
Pd 0.880 0.120 0.880
Ag 0.805 0.195 0.195
Ag 0.195 0.195 0.805
Ag 0.695 0.695 0.305
Ag 0.195 0.805 0.195
Ag 0.305 0.305 0.305

No. 8
Nd3TeRu: relaxed, PBE.

Output
V, Å³ per atom: 29.2
Raw formation energy, eV per atom: -0.641
Polymorph energy (0 for the lowest one), eV per formula unit: 0.05
Size of the total moment, μB per atom: 0.0000

Cell: 4.381 6.541 11.184 Å, 75.85 89.99 70.46°
Fractional coordinates of all 10 atoms:
Te 0.005 0.381 0.582
Te 0.811 0.767 0.801
Ru 0.635 0.120 0.081
Nd 0.279 0.831 0.564
Nd 0.818 0.752 0.302
Nd 0.997 0.395 0.081
Nd 0.537 0.316 0.819
Nd 0.264 0.862 0.019
Nd 0.552 0.286 0.364
Ru 0.181 0.028 0.302

No. 9
ZrAgTe2S6: relaxed, PBE.

Output
V, Å³ per atom: 24.1
Raw formation energy, eV per atom: -0.270
Size of the total moment, μB per atom: 0.0751

Cell: 6.732 6.742 7.252 Å, 90.09 117.63 119.94°
Site moments in Bohr magnetons follow the coordinates.
Fractional coordinates of all 10 atoms:
S 0.088 0.204 0.704  0.06
Zr 0.017 0.008 0.011  0.02
S 0.119 0.396 0.184  0.02
S 0.804 0.723 0.185  0.02
Te 0.596 0.797 0.379  0.02
Ag 0.988 0.493 0.467  0.01
S 0.476 0.080 0.185  0.02
S 0.836 0.631 0.704  0.06
Te 0.529 0.264 0.780  0.19
S 0.513 0.882 0.704  0.06

No. 10
Sr2ScMo: relaxed, PBE.

Output
V, Å³ per atom: 30.3
ΔE_f, eV per atom: 0.99
Polymorph energy (0 for the lowest one), eV per formula unit: 2.11
Size of the total moment, μB per atom: 0.6563

Cell: 11.581 11.581 11.581 Å, 17.40 17.40 17.40°
Site moments in Bohr magnetons follow the coordinates.
Fractional coordinates of all 4 atoms:
Mo 0.250 0.250 0.250  1.49
Sr 0.511 0.511 0.511  0.01
Sc 0.750 0.750 0.750  0.45
Sr 0.989 0.989 0.989  0.01

No. 11
Ta4Re2Mo: relaxed, PBE.

Output
V, Å³ per atom: 18.2
ΔE_f, eV per atom: 0.00
Size of the total moment, μB per atom: 0.0000

Cell: 5.492 5.492 5.492 Å, 109.84 109.29 109.29°
Fractional coordinates of all 7 atoms:
Ta 0.000 0.500 0.000
Mo 0.000 0.000 0.000
Ta 0.500 0.500 0.500
Re 0.500 0.000 0.500
Ta 0.000 0.000 0.500
Ta 0.500 0.000 0.000
Re 0.500 0.500 0.000

No. 12
TaMn2Tl2S6: relaxed, PBE.

Output
V, Å³ per atom: 21.7
Raw formation energy, eV per atom: -0.597
Size of the total moment, μB per atom: 0.4138

Cell: 5.811 5.811 8.400 Å, 96.61 96.61 119.96°
Site moments in Bohr magnetons follow the coordinates.
Fractional coordinates of all 11 atoms:
S 0.056 0.406 0.672  -0.02
Mn 0.332 0.668 0.500  2.33
S 0.944 0.594 0.328  -0.02
Ta 0.000 0.000 0.500  -0.30
Tl 0.834 0.166 0.000  0.04
S 0.594 0.944 0.328  -0.02
S 0.292 0.292 0.329  -0.01
S 0.406 0.056 0.672  -0.02
S 0.708 0.708 0.671  -0.01
Tl 0.166 0.834 0.000  0.04
Mn 0.668 0.332 0.500  2.33

No. 13
Mg2Zr2Cd3: relaxed, PBE.

Output
V, Å³ per atom: 22.3
ΔE_f, eV per atom: 0.05
Size of the total moment, μB per atom: 0.2807

Cell: 4.930 4.930 7.948 Å, 90.00 108.07 120.00°
Site moments in Bohr magnetons follow the coordinates.
Fractional coordinates of all 7 atoms:
Cd 0.450 0.725 0.175  0.00
Zr 0.281 0.140 0.421  0.64
Zr 0.719 0.860 0.579  0.64
Cd 0.000 0.000 0.000  0.03
Mg 0.855 0.428 0.283  -0.01
Cd 0.550 0.275 0.825  0.00
Mg 0.145 0.572 0.717  -0.01

No. 14
Li2BAs: relaxed, PBE.

Output
V, Å³ per atom: 12.7
ΔE_f, eV per atom: 0.31
Polymorph energy (0 for the lowest one), eV per formula unit: 0.00
Size of the total moment, μB per atom: 0.0000

Cell: 4.158 4.158 4.158 Å, 60.00 60.00 60.00°
Fractional coordinates of all 4 atoms:
As 0.500 0.500 0.500
Li 0.750 0.750 0.750
Li 0.250 0.250 0.250
B 0.000 0.000 0.000

No. 15
CoTcRu2: relaxed, PBE.

Output
V, Å³ per atom: 13.4
ΔE_f, eV per atom: 0.15
Polymorph energy (0 for the lowest one), eV per formula unit: 0.25
Size of the total moment, μB per atom: 0.1834

Cell: 4.591 4.591 2.684 Å, 90.00 90.00 108.95°
Site moments in Bohr magnetons follow the coordinates.
Fractional coordinates of all 4 atoms:
Tc 0.500 0.000 0.500  -0.01
Ru 0.500 0.500 0.000  0.00
Co 0.000 0.500 0.500  0.75
Ru 0.000 0.000 0.000  0.00

No. 16
Rb3PtRh: relaxed, PBE.

Output
V, Å³ per atom: 37.6
ΔE_f, eV per atom: 0.83
Size of the total moment, μB per atom: 0.0202

Cell: 5.731 5.731 5.731 Å, 90.00 90.00 90.00°
Site moments in Bohr magnetons follow the coordinates.
Fractional coordinates of all 5 atoms:
Rb 0.500 0.000 0.000  0.00
Pt 0.500 0.500 0.500  0.14
Rh 0.000 0.000 0.000  -0.04
Rb 0.000 0.500 0.000  0.00
Rb 0.000 0.000 0.500  0.00